First-principles (GGA-PBE) data for a relaxed In2AuSe2 crystal, as listed in Alexandria.

**Space-group type**: No. 127
**Crystal system**: tetragonal
**Size of the total moment**: 0.0 μB/cell
**Formation energy from raw total energies**: -53 meV per atom
**Polymorph energy (0 for the lowest one)**: 0.03 eV per formula unit

Lattice parameters (Å, degrees): 7.8123 7.8123 3.8507 90.00 90.00 90.00
Sites, in units of the cell vectors:
In 0.1628 0.3372 0.0000
In 0.3372 0.8372 0.0000
In 0.6628 0.1628 0.0000
In 0.8372 0.6628 0.0000
Au 0.0000 0.0000 0.0000
Au 0.5000 0.5000 0.0000
Se 0.1468 0.6468 0.5000
Se 0.3532 0.1468 0.5000
Se 0.6468 0.8532 0.5000
Se 0.8532 0.3532 0.5000


First-principles (GGA-PBE) data for a relaxed LiS2N crystal, as listed in Alexandria.

**Space-group type**: No. 122
**Crystal system**: tetragonal
**Size of the total moment**: 0.0 μB/cell
**Formation energy from raw total energies**: 467 meV per atom

Lattice parameters (Å, degrees): 5.2219 5.2219 9.7861 90.00 90.00 90.00
Sites, in units of the cell vectors:
Li 0.0000 0.0000 0.0000
Li 0.0000 0.5000 0.2500
Li 0.5000 0.0000 0.7500
Li 0.5000 0.5000 0.5000
S 0.1777 0.2500 0.6250
S 0.2500 0.6777 0.8750
S 0.2500 0.8223 0.3750
S 0.3223 0.2500 0.1250
S 0.6777 0.7500 0.1250
S 0.7500 0.1777 0.3750
S 0.7500 0.3223 0.8750
S 0.8223 0.7500 0.6250
N 0.0000 0.0000 0.5000
N 0.0000 0.5000 0.7500
N 0.5000 0.0000 0.2500
N 0.5000 0.5000 0.0000